[1]
# LaB4Rh7, optimized geometry, DFT GGA-PBE
data_LaB4Rh7
_cell_length_a 2.912
_cell_length_b 5.605
_cell_length_c 9.658
_cell_angle_alpha 90.00
_cell_angle_beta 90.00
_cell_angle_gamma 90.00
_space_group_name_H-M_alt 'P m m m'
_space_group_IT_number 47
_space_group_name_Hall '-P 2 2'
loop_
_atom_site_label
_atom_site_fract_x
_atom_site_fract_y
_atom_site_fract_z
La1 0.000 0.000 0.000
B1 0.000 0.000 0.331
B2 0.000 0.500 0.166
Rh1 0.000 0.500 0.500
Rh2 0.500 0.000 0.500
Rh3 0.500 0.259 0.262
Rh4 0.500 0.500 0.000
# **D(E_F)**: 10.0 states/eV per cell
# **DFT total energy**: -7.259 eV per atom


[2]
# LaBRh, optimized geometry, DFT GGA-PBE
data_LaBRh
_cell_length_a 3.7491
_cell_length_b 3.7491
_cell_length_c 4.4768
_cell_angle_alpha 90.00
_cell_angle_beta 90.00
_cell_angle_gamma 120.00
_space_group_name_H-M_alt 'P -6 m 2'
_space_group_IT_number 187
_space_group_name_Hall 'P -6 2'
loop_
_atom_site_label
_atom_site_fract_x
_atom_site_fract_y
_atom_site_fract_z
La1 0.0000 0.0000 0.0000
B1 0.6667 0.3333 0.5000
Rh1 0.3333 0.6667 0.5000
# **D(E_F)**: 2.6 states/eV per cell
# **DFT total energy**: -6.786 eV per atom


[3]
# LaB2Rh4, optimized geometry, DFT GGA-PBE
data_LaB2Rh4
_cell_length_a 9.904
_cell_length_b 5.750
_cell_length_c 3.996
_cell_angle_alpha 90.00
_cell_angle_beta 113.67
_cell_angle_gamma 90.00
_space_group_name_H-M_alt 'C 1 2/m 1'
_space_group_IT_number 12
_space_group_name_Hall '-C 2y'
loop_
_atom_site_label
_atom_site_fract_x
_atom_site_fract_y
_atom_site_fract_z
La1 0.000 0.000 0.000
B1 0.000 0.500 0.227
Rh1 0.156 0.267 0.656
# **D(E_F)**: 10.0 states/eV per cell
# **DFT total energy**: -6.929 eV per atom